Below is a geometry-optimized ScPaRuRh structure, with properties calculated at the PBE level.

## Properties
The value obtained for the calculated total energy is -8.770 eV/atom. The energy of formation comes out at -656 meV/atom.

Unit cell a=4.873 b=4.684 c=4.677 alpha=117.42 beta=120.97 gamma=90.04
Sites, in units of the cell vectors:
Pa 0.247 0.753 0.495
Rh 0.473 0.525 0.948
Sc 0.750 0.250 0.501
Ru 0.030 0.973 0.056